A plane-wave DFT calculation with PBE was carried out for crystalline HoPdPb at its relaxed geometry.

## Properties
Density ... 11.2 g/cm3
Total moment ... 0.00 Bohr magnetons per cell
VASP energy ... -5.007 eV/atom
D(E_F) ... 4.55 states/eV/cell
DFT formation energy ... -514.0 meV per atom

Cell: 3.5346 3.5346 11.3337 Å, 90.00 90.00 90.00°
With the nearest neighbours (Å) after each atom.
Space group I4mm (No. 107)
Asymmetric unit:
Ho: 0.0000 0.0000 0.0000  4 Pd 2.95
Pd: 0.0000 0.0000 0.3620  4 Ho 2.95, 4 Pb 3.08
Pb: 0.0000 0.0000 0.7035  4 Pd 3.08, 5 Ho 3.36-3.40